Record 1
TaPtCl2 PBE relaxed; calculated volume = 17.26 Å³/atom; spin magnetization = 0.00 μB per formula unit; formation energy from raw total energies = 1.16 eV per formula unit; excess energy over the best structure of this formula in the dataset = 0.954 eV/atom; E = -5.11 eV per atom; DOS at the Fermi energy = 3.57 states/eV/cell; space group = Pmmm (47)
1.0
-1.161 0.593 2.616
4.548 -1.507 2.360
1.513 4.147 -0.269
Cl Pt Ta
2 1 1
direct
0.000 0.000 0.000
0.500 0.500 0.000
0.500 0.000 0.500
0.000 0.500 0.500


Record 2
AgAs2Pd8 PBE relaxed; calculated volume = 16.14 Å³/atom; E_form = -235 meV/atom; spin magnetization = 0.00 μB per formula unit; E = -5.12 eV per atom; DOS at the Fermi energy = 5.67 states/eV/cell; space group = P1 (1)
1.0
-2.838 -3.657 1.529
4.376 -0.508 3.641
-3.802 6.047 1.544
Pd Ag As
8 1 2
direct
0.929 0.014 0.554
0.299 0.483 0.905
0.292 0.350 0.267
0.501 0.754 0.675
0.727 0.995 0.146
0.271 0.845 0.297
0.897 0.476 0.516
0.774 0.277 0.916
0.126 0.920 0.906
0.448 0.278 0.594
0.736 0.607 0.225


Record 3
NaBPb PBE relaxed; calculated volume = 19.52 Å³/atom; E_form = 850 meV/atom; spin magnetization = 0.00 μB per formula unit; E = -3.05 eV per atom; DOS at the Fermi energy = 2.46 states/eV/cell; space group = P4/nmm (129)
1.0
-2.144 3.422 -0.323
-0.833 -0.887 -3.864
-5.874 -3.486 2.067
Pb Na B
2 2 2
direct
0.000 0.500 0.867
0.500 0.000 0.133
0.000 0.000 0.500
0.500 0.500 0.500
0.000 0.500 0.215
0.500 0.000 0.785


Record 4
Ni3GeCl PBE relaxed; calculated volume = 15.06 Å³/atom; spin magnetization = 0.00 μB per formula unit; formation energy from raw total energies = 2.92 eV per formula unit; excess energy over the best structure of this formula in the dataset = 0.000 eV/atom; E = -4.18 eV per atom; DOS at the Fermi energy = 3.76 states/eV/cell; space group = Pm-3m (221)
1.0
4.223 0.000 0.000
0.000 4.223 0.000
0.000 0.000 4.223
Ni Ge Cl
3 1 1
direct
0.000 0.500 0.000
0.500 0.000 0.000
0.000 0.000 0.500
0.500 0.500 0.500
0.000 0.000 0.000


Record 5
Ta2Tl PBE relaxed; calculated volume = 21.00 Å³/atom; E_form = 620 meV/atom; spin magnetization = 0.00 μB per formula unit; E = -8.07 eV per atom; DOS at the Fermi energy = 5.21 states/eV/cell; space group = Fd-3m (227)
1.0
0.000 3.979 3.979
3.979 0.000 3.979
3.979 3.979 0.000
Ta Tl
4 2
direct
0.125 0.125 0.625
0.125 0.125 0.125
0.125 0.625 0.125
0.625 0.125 0.125
0.500 0.500 0.500
0.750 0.750 0.750


Record 6
Cs2PuZn2Se4 PBE relaxed; calculated volume = 30.96 Å³/atom; spin magnetization = 5.77 μB per formula unit; formation energy from raw total energies = -9.29 eV per formula unit; E = -4.65 eV per atom; DOS at the Fermi energy = 15.16 states/eV/cell; space group = C2/m (12)
1.0
4.344 0.000 0.000
0.000 8.452 0.484
-2.172 -2.886 7.424
Pu Se Zn Cs
1 4 2 2
direct
0.000 0.000 0.000
0.521 0.773 0.042
0.797 0.848 0.595
0.203 0.152 0.405
0.479 0.227 0.958
0.331 0.019 0.661
0.669 0.981 0.339
0.868 0.448 0.735
0.132 0.552 0.265


Record 7
Nd4PdPt PBE relaxed; calculated volume = 28.31 Å³/atom; E_form = -583 meV/atom; spin magnetization = 0.00 μB per formula unit; excess energy over the best structure of this formula in the dataset = 0.000 eV/atom; E = -5.63 eV per atom; DOS at the Fermi energy = 10.98 states/eV/cell; space group = I4/mcm (140)
1.0
-1.199 -1.117 -6.864
0.259 -6.967 1.089
-6.248 3.978 4.072
Nd Pt Pd
8 2 2
direct
0.449 0.949 0.258
0.949 0.809 0.258
0.551 0.051 0.742
0.191 0.691 0.742
0.309 0.449 0.258
0.809 0.309 0.258
0.051 0.191 0.742
0.691 0.551 0.742
0.750 0.750 0.500
0.250 0.250 0.500
0.500 0.500 0.000
0.000 0.000 0.000


Record 8
Sm8In2Sb PBE relaxed; calculated volume = 31.38 Å³/atom; spin magnetization = 0.00 μB per formula unit; formation energy from raw total energies = -2.71 eV per formula unit; E = -4.55 eV per atom; DOS at the Fermi energy = 13.23 states/eV/cell; space group = C2/m (12)
1.0
-1.879 -4.472 -2.973
6.071 3.224 -5.304
2.516 -3.741 7.420
In Sm Sb
2 8 1
direct
0.000 0.693 0.307
0.000 0.307 0.693
0.704 0.398 0.398
0.500 0.219 0.781
0.500 0.781 0.219
0.110 0.311 0.089
0.296 0.602 0.602
0.110 0.089 0.311
0.890 0.911 0.689
0.890 0.689 0.911
0.500 0.000 0.000


Record 9
Tb2Y PBE relaxed; calculated volume = 32.00 Å³/atom; E_form = 18 meV/atom; spin magnetization = 0.00 μB per formula unit; excess energy over the best structure of this formula in the dataset = 0.008 eV/atom; E = -5.22 eV per atom; DOS at the Fermi energy = 8.46 states/eV/cell; space group = C2/m (12)
1.0
5.035 0.000 0.000
-2.517 5.330 -1.837
0.000 0.071 7.130
Tb Y
4 2
direct
0.834 0.668 0.417
0.499 0.999 0.749
0.166 0.332 0.583
0.501 0.001 0.251
0.833 0.667 0.916
0.167 0.333 0.084


Record 10
TaSbP2 PBE relaxed; calculated volume = 25.48 Å³/atom; spin magnetization = 0.00 μB per formula unit; formation energy from raw total energies = 1.02 eV per formula unit; E = -6.44 eV per atom; DOS at the Fermi energy = 7.45 states/eV/cell; space group = I-42d (122)
1.0
-1.379 -4.625 3.646
5.774 -1.800 -0.100
3.267 -0.027 6.218
P Sb Ta
4 2 2
direct
0.375 0.332 0.750
0.082 0.625 0.250
0.668 0.125 0.250
0.875 0.918 0.750
0.500 0.500 0.000
0.250 0.750 0.500
0.750 0.250 0.500
0.000 0.000 0.000


Record 11
BRuSe2 PBE relaxed; calculated volume = 20.03 Å³/atom; spin magnetization = 0.58 μB per formula unit; formation energy from raw total energies = 2.06 eV per formula unit; E = -5.22 eV per atom; DOS at the Fermi energy = 2.87 states/eV/cell; space group = R-3m (166)
1.0
0.430 5.365 3.768
4.045 4.203 3.023
2.078 6.222 0.373
Ru Se B
1 2 1
direct
0.500 0.500 0.500
0.101 0.101 0.101
0.899 0.899 0.899
0.000 0.000 0.000


Record 12
LaSbTeI2 PBE relaxed; calculated volume = 49.51 Å³/atom; spin magnetization = 0.17 μB per formula unit; formation energy from raw total energies = -1.06 eV per formula unit; excess energy over the best structure of this formula in the dataset = 0.180 eV/atom; E = -3.27 eV per atom; DOS at the Fermi energy = 5.03 states/eV/cell; space group = P4/mmm (123)
1.0
-1.075 -4.854 -3.471
5.702 0.204 -2.050
1.953 -4.030 5.031
I Te Sb La
2 1 1 1
direct
0.000 0.500 0.000
0.500 0.000 0.000
0.500 0.500 0.500
0.000 0.000 0.500
0.000 0.000 0.000


Record 13
ZrScPa2P4 PBE relaxed; calculated volume = 20.32 Å³/atom; E_form = -1381 meV/atom; spin magnetization = 0.00 μB per formula unit; E = -8.32 eV per atom; DOS at the Fermi energy = 6.14 states/eV/cell; space group = P2/m (10)
1.0
3.885 0.000 0.000
0.000 6.716 0.110
0.000 -2.351 6.192
Zr Pa P Sc
1 2 4 1
direct
0.000 0.000 0.000
0.000 0.500 0.500
0.500 0.000 0.500
0.000 0.256 0.764
0.500 0.247 0.237
0.500 0.753 0.763
0.000 0.744 0.236
0.500 0.500 0.000


Record 14
Tb6NiBi2 PBE relaxed; calculated volume = 35.73 Å³/atom; E_form = -163 meV/atom; spin magnetization = 1.69 μB per formula unit; E = -4.75 eV per atom; DOS at the Fermi energy = 22.52 states/eV/cell; space group = P4_2/mnm (136)
1.0
6.796 0.000 0.000
0.000 6.796 0.000
0.000 0.000 13.928
Tb Ni Bi
12 2 4
direct
0.286 0.286 0.000
0.816 0.184 0.136
0.816 0.184 0.864
0.184 0.816 0.136
0.684 0.684 0.636
0.684 0.684 0.364
0.316 0.316 0.636
0.786 0.214 0.500
0.316 0.316 0.364
0.184 0.816 0.864
0.214 0.786 0.500
0.714 0.714 0.000
0.500 0.500 0.500
0.000 0.000 0.000
0.000 0.000 0.323
0.000 0.000 0.677
0.500 0.500 0.177
0.500 0.500 0.823


Record 15
Ho6Zn2Tc PBE relaxed; calculated volume = 24.95 Å³/atom; E_form = -149 meV/atom; spin magnetization = 0.00 μB per formula unit; E = -4.64 eV per atom; DOS at the Fermi energy = 14.88 states/eV/cell; space group = Immm (71)
1.0
-5.484 -1.451 -6.140
5.744 -6.065 -0.336
-3.982 0.082 7.350
Zn Ho Tc
4 12 2
direct
0.500 0.630 0.130
0.637 0.000 0.637
0.500 0.370 0.870
0.363 0.000 0.363
0.190 0.735 0.926
0.928 0.752 0.176
0.576 0.752 0.824
0.271 0.943 0.672
0.072 0.248 0.824
0.271 0.599 0.328
0.190 0.265 0.455
0.810 0.735 0.545
0.810 0.265 0.074
0.424 0.248 0.176
0.729 0.057 0.328
0.729 0.401 0.672
0.000 0.500 0.500
0.000 0.000 0.000


Record 16
NiAs2W PBE relaxed; calculated volume = 15.41 Å³/atom; E_form = 426 meV/atom; spin magnetization = 0.00 μB per formula unit; excess energy over the best structure of this formula in the dataset = 0.388 eV/atom; E = -6.58 eV per atom; DOS at the Fermi energy = 3.00 states/eV/cell; space group = Pmmm (47)
1.0
-2.765 -1.534 0.562
2.464 -4.143 0.809
0.272 0.906 3.811
As Ni W
2 1 1
direct
0.000 0.000 0.000
0.500 0.500 0.000
0.500 0.000 0.500
0.000 0.500 0.500


Record 17
Ta2Be2Sn PBE relaxed; calculated volume = 16.18 Å³/atom; E_form = 395 meV/atom; spin magnetization = 0.00 μB per formula unit; excess energy over the best structure of this formula in the dataset = 0.446 eV/atom; E = -6.64 eV per atom; DOS at the Fermi energy = 9.63 states/eV/cell; space group = P4/mbm (127)
1.0
7.324 0.000 0.000
0.000 7.324 0.000
0.000 0.000 3.017
Sn Ta Be
2 4 4
direct
0.500 0.500 0.000
0.000 0.000 0.000
0.130 0.370 0.000
0.630 0.130 0.000
0.370 0.870 0.000
0.870 0.630 0.000
0.830 0.330 0.500
0.670 0.830 0.500
0.330 0.170 0.500
0.170 0.670 0.500


Record 18
CdP2SO PBE relaxed; calculated volume = 20.12 Å³/atom; spin magnetization = 0.00 μB per formula unit; formation energy from raw total energies = 1.87 eV per formula unit; excess energy over the best structure of this formula in the dataset = 0.000 eV/atom; E = -3.79 eV per atom; DOS at the Fermi energy = 3.40 states/eV/cell; space group = P4/mmm (123)
1.0
3.808 0.000 0.000
0.000 3.808 0.000
0.000 0.000 6.936
P Cd O S
2 1 1 1
direct
0.500 0.000 0.000
0.000 0.500 0.000
0.500 0.500 0.500
0.000 0.000 0.000
0.000 0.000 0.500


Record 19
TaCu2Rh PBE relaxed; calculated volume = 14.05 Å³/atom; E_form = -154 meV/atom; spin magnetization = 0.00 μB per formula unit; E = -7.00 eV per atom; DOS at the Fermi energy = 2.70 states/eV/cell; space group = Immm (71)
1.0
-3.488 0.157 3.280
-4.366 -0.457 -1.920
4.076 -2.486 -0.403
Ta Rh Cu
1 1 2
direct
0.250 0.750 0.500
0.750 0.250 0.500
0.000 0.000 0.000
0.500 0.500 0.000


Record 20
Ti2HPdW PBE relaxed; calculated volume = 13.25 Å³/atom; spin magnetization = 0.00 μB per formula unit; E = -7.66 eV per atom; DOS at the Fermi energy = 4.11 states/eV/cell; space group = P4/mmm (123)
1.0
4.337 0.000 0.000
0.000 4.337 0.000
0.000 0.000 3.521
Pd Ti H W
1 2 1 1
direct
0.500 0.500 0.500
0.000 0.500 0.000
0.500 0.000 0.000
0.000 0.000 0.000
0.000 0.000 0.500